Entry 1:
# PBE-GGA Nd3Re3Mo2N12, relaxed
# **V**: 2152 Å³ per cell
# **M_tot**: 0.024 μB/f.u.
# **Raw total energy**: -9.220 eV/atom
# **Crystal system**: cubic
data_Nd3Re3Mo2N12
_cell_length_a 12.910
_cell_length_b 12.910
_cell_length_c 12.910
_cell_angle_alpha 90.00
_cell_angle_beta 90.00
_cell_angle_gamma 90.00
_space_group_name_H-M_alt 'I a -3 d'
_space_group_IT_number 230
_space_group_name_Hall '-I 4bd 2c 3'
loop_
_atom_site_label
_atom_site_type_symbol
_atom_site_fract_x
_atom_site_fract_y
_atom_site_fract_z
_atom_site_occupancy
Nd1 Nd 0.000 0.250 0.125 1
Re1 Re 0.000 0.250 0.375 1
Mo1 Mo 0.000 0.000 0.000 1
N1 N 0.035 0.048 0.649 1

***

Entry 2:
# PBE-GGA LuBiO3, relaxed
# **V**: 284 Å³ per cell
# **M_tot**: 0.000 μB/f.u.
# **Raw total energy**: -7.113 eV/atom
# **Crystal system**: orthorhombic
data_LuBiO3
_cell_length_a 6.059
_cell_length_b 8.243
_cell_length_c 5.682
_cell_angle_alpha 90.00
_cell_angle_beta 90.00
_cell_angle_gamma 90.00
_space_group_name_H-M_alt 'P n m a'
_space_group_IT_number 62
loop_
_space_group_symop_operation_xyz
'x,y,z'
'-x,-y,-z'
'-x+1/2,-y,z+1/2'
'x+1/2,y,-z+1/2'
'x+1/2,-y+1/2,-z+1/2'
'-x+1/2,y+1/2,z+1/2'
'-x,y+1/2,-z'
'x,-y+1/2,z'
loop_
_atom_site_label
_atom_site_type_symbol
_atom_site_fract_x
_atom_site_fract_y
_atom_site_fract_z
_atom_site_occupancy
Lu1 Lu 0.000 0.000 0.000 1
Bi1 Bi 0.038 0.250 0.487 1
O1 O 0.047 0.750 0.134 1
O2 O 0.186 0.563 0.675 1

***

Entry 3:
# PBE-GGA InGeAuS3, relaxed
# **V**: 532 Å³ per cell
# **Raw total energy**: -4.132 eV/atom
# **E above lowest polymorph**: 0.000 eV per atom
# **Crystal system**: orthorhombic
data_InGeAuS3
_cell_length_a 3.797
_cell_length_b 13.843
_cell_length_c 10.123
_cell_angle_alpha 90.00
_cell_angle_beta 90.00
_cell_angle_gamma 90.00
_space_group_name_H-M_alt 'C m c m'
_space_group_IT_number 63
_space_group_name_Hall '-C 2c 2'
loop_
_atom_site_label
_atom_site_type_symbol
_atom_site_fract_x
_atom_site_fract_y
_atom_site_fract_z
_atom_site_occupancy
In1 In 0.000 0.000 0.000 1
Ge1 Ge 0.000 0.319 0.250 1
Au1 Au 0.000 0.338 0.750 1
S1 S 0.000 0.061 0.750 1
S2 S 0.000 0.369 0.521 1

***

Entry 4:
# PBE-GGA LiTl2ZnBr6, relaxed
# **V**: 1173 Å³ per cell
# **Raw total energy**: -2.579 eV/atom
# **Crystal system**: cubic
data_LiTl2ZnBr6
_cell_length_a 10.545
_cell_length_b 10.545
_cell_length_c 10.545
_cell_angle_alpha 90.00
_cell_angle_beta 90.00
_cell_angle_gamma 90.00
_space_group_name_H-M_alt 'F m -3 m'
_space_group_IT_number 225
_space_group_name_Hall '-F 4 2 3'
loop_
_atom_site_label
_atom_site_type_symbol
_atom_site_fract_x
_atom_site_fract_y
_atom_site_fract_z
_atom_site_occupancy
Li1 Li 0.000 0.000 0.000 1
Tl1 Tl 0.250 0.250 0.250 1
Zn1 Zn 0.000 0.000 0.500 1
Br1 Br 0.000 0.000 0.253 1

***

Entry 5:
# PBE-GGA LuRePb, relaxed
# **V**: 295 Å³ per cell
# **M_tot**: 0.002 μB/f.u.
# **Raw total energy**: -6.340 eV/atom
# **Crystal system**: cubic
data_LuRePb
_cell_length_a 6.661
_cell_length_b 6.661
_cell_length_c 6.661
_cell_angle_alpha 90.00
_cell_angle_beta 90.00
_cell_angle_gamma 90.00
_space_group_name_H-M_alt 'F -4 3 m'
_space_group_IT_number 216
_space_group_name_Hall 'F -4 2 3'
loop_
_atom_site_label
_atom_site_type_symbol
_atom_site_fract_x
_atom_site_fract_y
_atom_site_fract_z
_atom_site_occupancy
Lu1 Lu 0.000 0.000 0.000 1
Re1 Re 0.250 0.250 0.250 1
Pb1 Pb 0.000 0.000 0.500 1

***

Entry 6:
# PBE-GGA SrMgZnAu2, relaxed
# **V**: 229 Å³ per cell
# **Raw total energy**: -2.805 eV/atom
# **Crystal system**: tetragonal
data_SrMgZnAu2
_cell_length_a 4.283
_cell_length_b 4.283
_cell_length_c 12.482
_cell_angle_alpha 90.00
_cell_angle_beta 90.00
_cell_angle_gamma 90.00
_space_group_name_H-M_alt 'I -4 m 2'
_space_group_IT_number 119
_space_group_name_Hall 'I -4 -2'
loop_
_atom_site_label
_atom_site_type_symbol
_atom_site_fract_x
_atom_site_fract_y
_atom_site_fract_z
_atom_site_occupancy
Sr1 Sr 0.000 0.000 0.000 1
Mg1 Mg 0.000 0.500 0.250 1
Zn1 Zn 0.000 0.500 0.750 1
Au1 Au 0.000 0.000 0.385 1

***

Entry 7:
# PBE-GGA Er3In3Ag2Pd, relaxed
# **V**: 201 Å³ per cell
# **M_tot**: 0.040 μB/f.u.
# **Raw total energy**: -4.184 eV/atom
# **Crystal system**: hexagonal
data_Er3In3Ag2Pd
_cell_length_a 7.7785
_cell_length_b 7.7785
_cell_length_c 3.8314
_cell_angle_alpha 90.00
_cell_angle_beta 90.00
_cell_angle_gamma 120.00
_space_group_name_H-M_alt 'P -6 2 m'
_space_group_IT_number 189
_space_group_name_Hall 'P -6 -2'
loop_
_atom_site_label
_atom_site_type_symbol
_atom_site_fract_x
_atom_site_fract_y
_atom_site_fract_z
_atom_site_occupancy
Er1 Er 0.0000 0.3994 0.0000 1
In1 In 0.0000 0.7396 0.5000 1
Ag1 Ag 0.3333 0.6667 0.5000 1
Pd1 Pd 0.0000 0.0000 0.0000 1

***

Entry 8:
# PBE-GGA Hf2PAu, relaxed
# **V**: 307 Å³ per cell
# **M_tot**: 0.002 μB/f.u.
# **Raw total energy**: -7.970 eV/atom
# **Crystal system**: orthorhombic
data_Hf2PAu
_cell_length_a 3.444
_cell_length_b 17.928
_cell_length_c 4.972
_cell_angle_alpha 90.00
_cell_angle_beta 90.00
_cell_angle_gamma 90.00
_space_group_name_H-M_alt 'C m c m'
_space_group_IT_number 63
_space_group_name_Hall '-C 2c 2'
loop_
_atom_site_label
_atom_site_type_symbol
_atom_site_fract_x
_atom_site_fract_y
_atom_site_fract_z
_atom_site_occupancy
Hf1 Hf 0.000 0.085 0.250 1
Hf2 Hf 0.000 0.293 0.250 1
P1 P 0.000 0.311 0.750 1
Au1 Au 0.000 0.455 0.250 1

***

Entry 9:
# PBE-GGA ZnNi2Pd, relaxed
# **V**: 204 Å³ per cell
# **M_tot**: 0.423 μB/f.u.
# **Raw total energy**: -4.538 eV/atom
# **Formation energy**: -0.14 eV/atom
# **Crystal system**: cubic
data_ZnNi2Pd
_cell_length_a 5.883
_cell_length_b 5.883
_cell_length_c 5.883
_cell_angle_alpha 90.00
_cell_angle_beta 90.00
_cell_angle_gamma 90.00
_space_group_name_H-M_alt 'F -4 3 m'
_space_group_IT_number 216
_space_group_name_Hall 'F -4 2 3'
loop_
_atom_site_label
_atom_site_type_symbol
_atom_site_fract_x
_atom_site_fract_y
_atom_site_fract_z
_atom_site_occupancy
Zn1 Zn 0.000 0.000 0.000 1
Ni1 Ni 0.000 0.000 0.500 1
Ni2 Ni 0.250 0.250 0.750 1
Pd1 Pd 0.250 0.250 0.250 1

***

Entry 10:
# PBE-GGA K2PtC4Br2N4, relaxed
# **V**: 535 Å³ per cell
# **M_tot**: 0.000 μB/f.u.
# **Raw total energy**: -6.481 eV/atom
# **Crystal system**: monoclinic
data_K2PtC4Br2N4
_cell_length_a 7.181
_cell_length_b 8.980
_cell_length_c 8.659
_cell_angle_alpha 90.00
_cell_angle_beta 106.73
_cell_angle_gamma 90.00
_space_group_name_H-M_alt 'P 1 21/c 1'
_space_group_IT_number 14
loop_
_space_group_symop_operation_xyz
'x,y,z'
'-x,-y,-z'
'-x,y+1/2,-z+1/2'
'x,-y+1/2,z+1/2'
loop_
_atom_site_label
_atom_site_type_symbol
_atom_site_fract_x
_atom_site_fract_y
_atom_site_fract_z
_atom_site_occupancy
K1 K 0.001 0.223 0.378 1
Pt1 Pt 0.500 0.000 0.000 1
C1 C 0.295 0.037 0.112 1
C2 C 0.304 0.047 0.789 1
Br1 Br 0.397 0.731 0.967 1
N1 N 0.169 0.060 0.170 1
N2 N 0.182 0.073 0.669 1

***

Entry 11:
# PBE-GGA Nd6TlSn, relaxed
# **V**: 245 Å³ per cell
# **M_tot**: 0.029 μB/f.u.
# **Raw total energy**: -4.706 eV/atom
# **Crystal system**: tetragonal
data_Nd6TlSn
_cell_length_a 4.972
_cell_length_b 4.972
_cell_length_c 9.922
_cell_angle_alpha 90.00
_cell_angle_beta 90.00
_cell_angle_gamma 90.00
_space_group_name_H-M_alt 'P 4/m m m'
_space_group_IT_number 123
_space_group_name_Hall '-P 4 2'
loop_
_atom_site_label
_atom_site_type_symbol
_atom_site_fract_x
_atom_site_fract_y
_atom_site_fract_z
_atom_site_occupancy
Nd1 Nd 0.000 0.000 0.000 1
Nd2 Nd 0.000 0.000 0.500 1
Nd3 Nd 0.000 0.500 0.246 1
Tl1 Tl 0.500 0.500 0.500 1
Sn1 Sn 0.500 0.500 0.000 1

***

Entry 12:
# PBE-GGA BaTePtO, relaxed
# **V**: 188 Å³ per cell
# **M_tot**: 0.133 μB/f.u.
# **Raw total energy**: -4.694 eV/atom
# **E above lowest polymorph**: 0.528 eV per atom
# **Crystal system**: tetragonal
data_BaTePtO
_cell_length_a 4.434
_cell_length_b 4.434
_cell_length_c 9.560
_cell_angle_alpha 90.00
_cell_angle_beta 90.00
_cell_angle_gamma 90.00
_space_group_name_H-M_alt 'P 4/n m m'
_space_group_IT_number 129
loop_
_space_group_symop_operation_xyz
'x,y,z'
'-x,-y,-z'
'-y+1/2,x,z'
'y+1/2,-x,-z'
'-x+1/2,-y+1/2,z'
'x+1/2,y+1/2,-z'
'y,-x+1/2,z'
'-y,x+1/2,-z'
'x+1/2,-y,-z'
'-x+1/2,y,z'
'-y,-x,-z'
'y,x,z'
'-x,y+1/2,-z'
'x,-y+1/2,z'
'y+1/2,x+1/2,-z'
'-y+1/2,-x+1/2,z'
loop_
_atom_site_label
_atom_site_type_symbol
_atom_site_fract_x
_atom_site_fract_y
_atom_site_fract_z
_atom_site_occupancy
Ba1 Ba 0.250 0.250 0.222 1
Te1 Te 0.250 0.250 0.624 1
Pt1 Pt 0.250 0.250 0.901 1
O1 O 0.250 0.750 0.000 1

***

Q: Which of these has the lowest raw total energy?
A: Nd3Re3Mo2N12

***

Q: The lowest raw total energy belongs to which entry?
A: Nd3Re3Mo2N12

***

Repeat the sixth record exactly.
# PBE-GGA SrMgZnAu2, relaxed
# **V**: 229 Å³ per cell
# **Raw total energy**: -2.805 eV/atom
# **Crystal system**: tetragonal
data_SrMgZnAu2
_cell_length_a 4.283
_cell_length_b 4.283
_cell_length_c 12.482
_cell_angle_alpha 90.00
_cell_angle_beta 90.00
_cell_angle_gamma 90.00
_space_group_name_H-M_alt 'I -4 m 2'
_space_group_IT_number 119
_space_group_name_Hall 'I -4 -2'
loop_
_atom_site_label
_atom_site_type_symbol
_atom_site_fract_x
_atom_site_fract_y
_atom_site_fract_z
_atom_site_occupancy
Sr1 Sr 0.000 0.000 0.000 1
Mg1 Mg 0.000 0.500 0.250 1
Zn1 Zn 0.000 0.500 0.750 1
Au1 Au 0.000 0.000 0.385 1